Entry 1:
LaSmCdRh, relaxed, DFT GGA-PBE; uncorrected energy = -4.91 eV per atom; E_form = -0.434 eV per atom; symmetry = No. 216
1.0
5.240 0.000 0.000
2.620 4.538 0.000
2.620 1.513 4.279
Sm Cd Rh La
1 1 1 1
Cartesian
0.000 0.000 0.000
2.620 1.513 1.070
7.861 4.538 3.209
5.240 3.026 2.139


Entry 2:
La2CdSnRh, relaxed, DFT GGA-PBE; uncorrected energy = -4.94 eV per atom; E_form = -0.515 eV per atom; offset from the most stable computed form = 0.000 eV/atom; symmetry = No. 123
1.0
5.422 0.000 0.000
0.000 5.422 0.000
0.000 0.000 5.187
Rh La Sn Cd
1 2 1 1
Cartesian
0.000 0.000 0.000
2.711 0.000 0.000
0.000 2.711 0.000
2.711 2.711 2.594
0.000 0.000 2.594


Entry 3:
La2CdSn4Rh3, relaxed, DFT GGA-PBE; uncorrected energy = -5.54 eV per atom; E_form = -0.656 eV per atom; symmetry = No. 115
1.0
4.568 0.000 0.000
0.000 4.568 0.000
0.000 0.000 11.116
La Cd Sn Rh
2 1 4 3
Cartesian
0.000 2.284 8.442
2.284 0.000 2.675
2.284 2.284 5.558
2.284 2.284 0.000
0.000 2.284 3.968
0.000 0.000 0.000
2.284 0.000 7.148
2.284 0.000 9.737
0.000 0.000 5.558
0.000 2.284 1.380


Entry 4:
La2CdSnRh, relaxed, DFT GGA-PBE; uncorrected energy = -4.92 eV per atom; E_form = -0.498 eV per atom; offset from the most stable computed form = 0.017 eV/atom; symmetry = No. 123
1.0
5.509 0.000 0.000
0.000 5.509 0.000
0.000 0.000 5.108
Cd Rh La Sn
1 1 2 1
Cartesian
2.754 2.754 2.554
0.000 0.000 0.000
0.000 2.754 0.000
2.754 0.000 0.000
0.000 0.000 2.554


Entry 5:
LaTa2CdRh, relaxed, DFT GGA-PBE; uncorrected energy = -5.51 eV per atom; E_form = 1.874 eV per atom; symmetry = No. 123
1.0
5.057 0.000 0.000
0.000 4.803 0.000
0.000 0.000 5.057
Rh Ta Cd La
1 2 1 1
Cartesian
0.000 2.402 0.000
2.528 0.000 0.000
0.000 0.000 2.528
2.528 2.402 2.528
0.000 0.000 0.000


Entry 6:
La2TlCdRh, relaxed, DFT GGA-PBE; uncorrected energy = -4.47 eV per atom; E_form = -0.375 eV per atom; offset from the most stable computed form = 0.170 eV/atom; symmetry = No. 123
1.0
-4.589 -1.629 2.467
1.857 -5.133 0.066
2.230 0.868 4.721
Rh La Cd Tl
1 2 1 1
Cartesian
0.000 0.000 0.000
-2.295 -0.814 1.234
0.929 -2.566 0.033
-0.251 -2.947 3.628
1.115 0.434 2.361


Entry 7:
LaTlCd2Rh, relaxed, DFT GGA-PBE; uncorrected energy = -2.51 eV per atom; E_form = 0.780 eV per atom; offset from the most stable computed form = 1.028 eV/atom; symmetry = No. 123
1.0
5.181 0.000 0.000
0.000 6.157 0.000
0.000 0.000 5.181
La Cd Tl Rh
1 2 1 1
Cartesian
0.000 3.078 0.000
2.590 0.000 0.000
0.000 0.000 2.590
0.000 0.000 0.000
2.590 3.078 2.590


Entry 8:
LaTl2CdRh, relaxed, DFT GGA-PBE; uncorrected energy = -3.85 eV per atom; E_form = -0.270 eV per atom; symmetry = No. 123
1.0
-2.713 0.041 -4.609
-2.976 -4.098 1.716
-3.450 3.367 2.060
Cd La Tl Rh
1 1 2 1
Cartesian
-4.569 -0.345 -0.416
-1.725 1.684 1.030
-1.356 0.020 -2.304
-1.488 -2.049 0.858
0.000 0.000 0.000